(1)
Material: KTaMn2
Method: DFT, SCAN
State: PBEsol geometry

Geometry as POSCAR:
```
KTaMn2
1.0
-1.9264 1.9264 4.8114
1.9264 -1.9264 4.8114
1.9264 1.9264 -4.8114
K Ta Mn
1 1 2
Cartesian
0.0000 0.0000 0.0000
1.9264 0.0000 2.4057
0.0000 0.0000 4.8114
0.0000 1.9264 2.4057
```

## Properties
- Total magnetization: 1.36 μB/atom
- Energy above the lowest structure with this stoichiometry: 253 meV/atom
- Crystal system: tetragonal
- Energy of formation from the pure elements: 118 kJ/mol of atoms



(2)
Material: BeTc3P
Method: DFT, SCAN
State: PBEsol geometry

Geometry as POSCAR:
```
BeTc3P
1.0
4.2738 0.0000 0.0000
0.0000 4.2738 0.0000
0.0000 0.0000 4.2738
Be Tc P
1 3 1
Cartesian
0.0000 0.0000 0.0000
0.0000 2.1369 2.1369
2.1369 0.0000 2.1369
2.1369 2.1369 0.0000
2.1369 2.1369 2.1369
```

## Properties
- Total magnetization: 0.00 μB/atom
- Crystal system: cubic
- Energy of formation from the pure elements: 68 kJ/mol of atoms



(3)
Material: Li3Nb4FeO12
Method: DFT, SCAN
State: PBEsol geometry

Geometry as POSCAR:
```
Li3Nb4FeO12
1.0
5.1268 0.0000 0.0000
0.0396 5.5813 0.0000
0.0860 0.7586 7.4737
Li Nb Fe O
3 4 1 12
Cartesian
0.0000 0.0000 0.0000
0.0865 5.9511 3.6993
2.6190 3.1903 3.6754
0.0748 3.3722 2.1684
2.5851 0.5752 2.1015
2.6317 1.0286 5.7945
5.1990 3.8280 5.8935
2.7229 3.4555 7.2188
0.7411 3.8396 4.0345
0.9789 5.3098 1.7454
1.0253 2.2323 6.4841
1.7171 5.0545 6.4883
1.7319 2.5420 1.6488
1.9245 1.0630 4.0019
3.2818 0.7154 0.2907
3.5109 2.8843 5.4130
3.6226 4.6767 2.7218
4.1890 1.8772 2.7233
4.3207 5.6826 5.4683
4.4650 3.5196 0.3427
```

## Properties
- Total magnetization: 0.15 μB/atom
- Final energy: -1.04135 Ry per atom
- Crystal system: triclinic



(4)
Material: MgAg3
Method: DFT, SCAN
State: PBEsol geometry

Geometry as POSCAR:
```
MgAg3
1.0
4.8917 -2.4202 0.0000
4.8917 2.4202 0.0000
-0.9263 0.0000 2.8846
Mg Ag
1 3
Cartesian
0.0000 0.0000 0.0000
1.7589 0.6561 2.1657
4.4285 -0.0216 1.4423
7.0981 0.6561 0.7188
```

## Properties
- Total magnetization: 0.00 μB/atom
- Energy above the lowest structure with this stoichiometry: 44 meV/atom
- Crystal system: monoclinic
- Energy of formation from the pure elements: -11 kJ/mol of atoms



(5)
Material: Ni2BiAsC
Method: DFT, SCAN
State: PBEsol geometry

Geometry as POSCAR:
```
Ni2BiAsC
1.0
3.9282 0.0000 0.0000
0.0000 3.9282 0.0000
0.0000 0.0000 4.7499
Ni Bi As C
2 1 1 1
Cartesian
0.0000 1.9641 0.0000
1.9641 0.0000 0.0000
0.0000 0.0000 2.3750
1.9641 1.9641 2.3750
1.9641 1.9641 0.0000
```

## Properties
- Total magnetization: 0.11 μB/atom
- Crystal system: tetragonal
- Energy of formation from the pure elements: 70 kJ/mol of atoms



(6)
Material: CoSe2Cl
Method: DFT, SCAN
State: PBEsol geometry

Geometry as POSCAR:
```
CoSe2Cl
1.0
1.3971 0.8066 10.9368
-1.3971 0.8066 10.9368
0.0000 -1.6132 10.9368
Co Se Cl
1 2 1
Cartesian
0.0000 0.0000 0.0000
0.0000 0.0000 2.2310
0.0000 0.0000 30.5795
0.0000 0.0000 16.4053
```

## Properties
- Total magnetization: 0.28 μB/atom
- Energy above the lowest structure with this stoichiometry: 646 meV/atom
- Crystal system: trigonal



(7)
Material: LiCoAu2
Method: DFT, SCAN
State: PBEsol geometry

Geometry as POSCAR:
```
LiCoAu2
1.0
2.7216 0.0000 0.0000
0.0000 3.6570 0.0000
0.0000 0.0000 5.7040
Li Co Au
1 1 2
Cartesian
0.0000 0.0000 0.0000
0.0000 0.0000 2.8520
1.3608 1.8285 1.4403
1.3608 1.8285 4.2637
```

## Properties
- Total magnetization: 0.51 μB/atom
- Crystal system: orthorhombic
- Energy of formation from the pure elements: -18 kJ/mol of atoms



(8)
Material: Ta2WBr
Method: DFT, SCAN
State: PBEsol geometry

Geometry as POSCAR:
```
Ta2WBr
1.0
3.1608 0.0000 0.0000
0.0000 4.4886 0.0000
0.0000 0.0000 4.8286
Ta W Br
2 1 1
Cartesian
0.0000 0.0000 0.0000
1.5804 0.0000 2.4143
0.0000 2.2443 2.4143
1.5804 2.2443 0.0000
```

## Properties
- Total magnetization: 0.00 μB/atom
- Energy above the lowest structure with this stoichiometry: 316 meV/atom
- Crystal system: orthorhombic